Record 1
FeCl3 (PBE, relaxed); formation energy without anion corrections = -285 meV per atom; magnetic moment = 5.0 μB/f.u.; raw total energy = -3.79 eV/atom
1.0
3.3079 0.0000 0.0000
-1.6539 2.8647 0.0000
0.0000 0.0000 9.9498
Fe Cl
1 3
direct
0.0000 0.0000 0.0000 Fe
0.0000 0.0000 0.5000 Cl
0.3333 0.6667 0.1548 Cl
0.3333 0.6667 0.8452 Cl

=====

Record 2
TbZnI (PBE, relaxed); formation energy without anion corrections = -649 meV per atom; magnetic moment = 0.0 μB/f.u.; raw total energy = -3.13 eV/atom
1.0
6.9971 0.0000 0.0000
0.0000 4.0402 0.0000
-2.3307 0.0000 13.5586
Tb Zn I
4 4 4
direct
0.1028 0.0000 0.3109 Tb
0.3972 0.5000 0.6891 Tb
0.6028 0.5000 0.3109 Tb
0.8972 0.0000 0.6891 Tb
0.1825 0.0000 0.5464 Zn
0.3175 0.5000 0.4536 Zn
0.6825 0.5000 0.5464 Zn
0.8175 0.0000 0.4536 Zn
0.1151 0.5000 0.8431 I
0.3849 0.0000 0.1569 I
0.6151 0.0000 0.8431 I
0.8849 0.5000 0.1569 I

=====

Record 3
PmYPd2 (PBE, relaxed); formation energy = -0.818 eV/atom; magnetic moment = 0.0 μB/f.u.; raw total energy = -6.22 eV/atom; energy above the most stable polymorph in this dataset = 0.0473 eV per atom
1.0
5.0911 0.0000 0.0000
0.0000 5.0911 0.0000
0.0000 0.0000 3.4774
Pm Y Pd
1 1 2
direct
0.0000 0.0000 0.0000 Pm
0.5000 0.5000 0.0000 Y
0.0000 0.5000 0.5000 Pd
0.5000 0.0000 0.5000 Pd